# Ba2SnSe6

An optimized crystal structure of Ba2SnSe6 (PBE, Alexandria via LeMat-Bulk).

Structure (CIF):
```
data_Ba2SnSe6
_symmetry_space_group_name_H-M 'C 1 2/m 1'
_symmetry_Int_Tables_number 12
_cell_length_a 13.562
_cell_length_b 8.519
_cell_length_c 5.059
_cell_angle_alpha 90.00
_cell_angle_beta 95.54
_cell_angle_gamma 90.00
loop_
_symmetry_equiv_pos_as_xyz
'x,y,z'
'-x,-y,-z'
'-x,y,-z'
'x,-y,z'
'x+1/2,y+1/2,z'
'-x+1/2,-y+1/2,-z'
'-x+1/2,y+1/2,-z'
'x+1/2,-y+1/2,z'
loop_
_atom_site_label
_atom_site_fract_x
_atom_site_fract_y
_atom_site_fract_z
_atom_site_occupancy
Ba1 0.170 0.000 0.362 1
Sn1 0.000 0.500 0.000 1
Se1 0.000 0.272 0.500 1
Se2 0.160 0.259 0.860 1
```


# Ba2SnSe3, relaxed, DFT PBE
# excess energy over the best structure of this formula in the dataset = 23.1 meV/atom
data_Ba2SnSe3
_symmetry_space_group_name_H-M 'C 1 2/c 1'
_symmetry_Int_Tables_number 15
_cell_length_a 13.382
_cell_length_b 7.969
_cell_length_c 8.141
_cell_angle_alpha 90.00
_cell_angle_beta 90.18
_cell_angle_gamma 90.00
loop_
_symmetry_equiv_pos_as_xyz
'x,y,z'
'-x,-y,-z'
'-x,y,-z+1/2'
'x,-y,z+1/2'
'x+1/2,y+1/2,z'
'-x+1/2,-y+1/2,-z'
'-x+1/2,y+1/2,-z+1/2'
'x+1/2,-y+1/2,z+1/2'
loop_
_atom_site_label
_atom_site_fract_x
_atom_site_fract_y
_atom_site_fract_z
_atom_site_occupancy
Ba1 0.172 0.173 0.249 1
Sn1 0.000 0.444 0.750 1
Se1 0.000 0.116 0.750 1
Se2 0.171 0.499 0.500 1


# BaSnSe3, relaxed, DFT PBE
# excess energy over the best structure of this formula in the dataset = 1210.9 meV/atom
data_BaSnSe3
_symmetry_space_group_name_H-M 'P m -3 m'
_symmetry_Int_Tables_number 221
_symmetry_space_group_name_Hall '-P 4 2 3'
_cell_length_a 5.940
_cell_length_b 5.940
_cell_length_c 5.940
_cell_angle_alpha 90.00
_cell_angle_beta 90.00
_cell_angle_gamma 90.00
loop_
_atom_site_label
_atom_site_fract_x
_atom_site_fract_y
_atom_site_fract_z
_atom_site_occupancy
Ba1 0.000 0.000 0.000 1
Sn1 0.500 0.500 0.500 1
Se1 0.000 0.000 0.500 1


# Ba3Sn5Se12

An optimized crystal structure of Ba3Sn5Se12 (PBE, Alexandria via LeMat-Bulk).

Structure (CIF):
```
data_Ba3Sn5Se12
_symmetry_space_group_name_H-M 'I a -3 d'
_symmetry_Int_Tables_number 230
_symmetry_space_group_name_Hall '-I 4bd 2c 3'
_cell_length_a 17.383
_cell_length_b 17.383
_cell_length_c 17.383
_cell_angle_alpha 90.00
_cell_angle_beta 90.00
_cell_angle_gamma 90.00
loop_
_atom_site_label
_atom_site_fract_x
_atom_site_fract_y
_atom_site_fract_z
_atom_site_occupancy
Ba1 0.000 0.250 0.125 1
Sn1 0.000 0.000 0.000 1
Sn2 0.000 0.250 0.375 1
Se1 0.030 0.059 0.650 1
```


ΔE_f (raw) list, top to bottom, in eV/f.u.: -8.3 -8.2 0.9 -17.2
Total magnetic moment list, top to bottom, in μB/atom: 0.000 0.000 0.376 0.000